## KZr2F (GGA-PBE)

Data for a relaxed structure of KZr2F.

Computed properties:
The uncorrected formation energy is 3.351 eV/f.u. For the density of states at the Fermi level, the calculation gives 16.16 states/eV/cell. The calculation puts the total energy at -0.3071 Ry per atom. The value obtained for the size of the total moment is 0.0 μB/f.u. The distance to the lowest polymorph of the same formula is 0.920 eV/atom.

a = 7.160 Å, b = 7.160 Å, c = 7.160 Å
α = 90.00°, β = 90.00°, γ = 90.00°
Space group Fm-3m (No. 225)
Asymmetric unit:
K1 0.000 0.000 0.000 x4
Zr1 0.250 0.250 0.250 x8
F1 0.000 0.000 0.500 x4

=====

## Tl2MoRu (GGA-PBE)

Data for a relaxed structure of Tl2MoRu.

Computed properties:
As for the formation energy: 0.3342 eV/atom. For the density of states at the Fermi level, the calculation gives 5.65 states/eV/cell. The calculation puts the total energy at -0.4319 Ry per atom. The value obtained for the size of the total moment is 0.0 μB/f.u. The distance to the lowest polymorph of the same formula is 0.000 eV/atom.

a = 3.106 Å, b = 3.066 Å, c = 17.377 Å
α = 90.00°, β = 90.00°, γ = 90.00°
Space group Amm2 (No. 38)
Asymmetric unit:
Tl1 0.000 0.000 0.000 x2
Tl2 0.500 0.000 0.169 x2
Mo1 0.000 0.000 0.796 x2
Ru1 0.500 0.000 0.375 x2

=====

## RbRhS2 (GGA-PBE)

Data for a relaxed structure of RbRhS2.

Computed properties:
The uncorrected formation energy is -2.832 eV/f.u. The calculation puts the total energy at -0.3566 Ry per atom. The value obtained for the size of the total moment is 0.0 μB/f.u.

a = 3.7376 Å, b = 3.7376 Å, c = 21.4290 Å
α = 90.00°, β = 90.00°, γ = 120.00°
Space group R3m (No. 160, hexagonal axes)
Asymmetric unit:
Rb1 0.0000 0.0000 0.0000 x3
Rh1 0.0000 0.0000 0.8300 x3
S1 0.0000 0.0000 0.2164 x3
S2 0.0000 0.0000 0.4447 x3

=====

## Tc2AsBr (GGA-PBE)

Data for a relaxed structure of Tc2AsBr.

Computed properties:
The uncorrected formation energy is 1.941 eV/f.u. For the density of states at the Fermi level, the calculation gives 3.25 states/eV/cell. The calculation puts the total energy at -0.4614 Ry per atom. The value obtained for the size of the total moment is 0.0 μB/f.u. The distance to the lowest polymorph of the same formula is 0.366 eV/atom.

a = 10.504 Å, b = 3.041 Å, c = 4.199 Å
α = 90.00°, β = 100.37°, γ = 90.00°
Space group Cm (No. 8)
Asymmetric unit:
Tc1 0.000 0.000 0.000 x2
Tc2 0.236 0.500 0.257 x2
As1 0.296 0.000 0.816 x2
Br1 0.034 0.500 0.490 x2

=====

## In3Pb5 (GGA-PBE)

Data for a relaxed structure of In3Pb5.

Computed properties:
As for the formation energy: 0.0111 eV/atom. For the density of states at the Fermi level, the calculation gives 7.22 states/eV/cell. The calculation puts the total energy at -0.2450 Ry per atom. The value obtained for the size of the total moment is 0.0 μB/f.u. The distance to the lowest polymorph of the same formula is 0.004 eV/atom.

a = 9.576 Å, b = 10.464 Å, c = 4.796 Å
α = 90.00°, β = 90.00°, γ = 90.00°
Space group Cmmm (No. 65)
Asymmetric unit:
In1 0.000 0.000 0.000 x2
In2 0.000 0.251 0.500 x4
Pb1 0.000 0.500 0.000 x2
Pb2 0.241 0.000 0.500 x4
Pb3 0.250 0.250 0.000 x4

=====

## Sc2OsRu (GGA-PBE)

Data for a relaxed structure of Sc2OsRu.

Computed properties:
As for the formation energy: -0.1394 eV/atom. For the density of states at the Fermi level, the calculation gives 2.00 states/eV/cell. The calculation puts the total energy at -0.6197 Ry per atom. The value obtained for the size of the total moment is 0.0 μB/f.u.

a = 4.438 Å, b = 3.104 Å, c = 5.315 Å
α = 90.00°, β = 111.83°, γ = 90.00°
Space group P2/m (No. 10)
Asymmetric unit:
Sc1 0.000 0.000 0.000 x1
Sc2 0.000 0.500 0.500 x1
Os1 0.500 0.000 0.500 x1
Ru1 0.500 0.500 0.000 x1

=====

## Cd2InTe (GGA-PBE)

Data for a relaxed structure of Cd2InTe.

Computed properties:
The uncorrected formation energy is 0.251 eV/f.u. For the density of states at the Fermi level, the calculation gives 3.37 states/eV/cell. The calculation puts the total energy at -0.1371 Ry per atom. The value obtained for the size of the total moment is 0.0 μB/f.u. The distance to the lowest polymorph of the same formula is 0.140 eV/atom.

a = 3.986 Å, b = 4.964 Å, c = 10.837 Å
α = 90.00°, β = 90.00°, γ = 90.00°
Space group Cmm2 (No. 35)
Asymmetric unit:
Cd1 0.000 0.000 0.000 x2
Cd2 0.000 0.500 0.222 x2
In1 0.000 0.500 0.754 x2
Te1 0.000 0.000 0.481 x2

=====

## Y2TmPu3Se6 (GGA-PBE)

Data for a relaxed structure of Y2TmPu3Se6.

Computed properties:
The uncorrected formation energy is -19.957 eV/f.u. For the density of states at the Fermi level, the calculation gives 52.18 states/eV/cell. The calculation puts the total energy at -0.6202 Ry per atom. The value obtained for the size of the total moment is 17.7 μB/f.u.

a = 17.957 Å, b = 4.081 Å, c = 8.250 Å
α = 90.00°, β = 104.15°, γ = 90.00°
Space group C2/m (No. 12)
Asymmetric unit:
Y1 0.167 0.000 0.335 x4
Tm1 0.000 0.500 0.000 x2
Pu1 0.000 0.500 0.500 x2
Pu2 0.168 0.000 0.834 x4
Se1 0.001 0.000 0.243 x4
Se2 0.164 0.500 0.085 x4
Se3 0.167 0.500 0.581 x4

=====

## BaPtSe3 (GGA-PBE)

Data for a relaxed structure of BaPtSe3.

Computed properties:
The uncorrected formation energy is -3.598 eV/f.u. For the density of states at the Fermi level, the calculation gives 5.66 states/eV/cell. The calculation puts the total energy at -0.3236 Ry per atom. The value obtained for the size of the total moment is 0.0 μB/f.u. The distance to the lowest polymorph of the same formula is 0.000 eV/atom.

a = 5.109 Å, b = 5.109 Å, c = 5.109 Å
α = 90.00°, β = 90.00°, γ = 90.00°
Space group Pm-3m (No. 221)
Asymmetric unit:
Ba1 0.000 0.000 0.000 x1
Pt1 0.500 0.500 0.500 x1
Se1 0.000 0.500 0.500 x3

=====

## Ti12GaSi6 (GGA-PBE)

Data for a relaxed structure of Ti12GaSi6.

Computed properties:
The uncorrected formation energy is -5.534 eV/f.u. For the density of states at the Fermi level, the calculation gives 63.71 states/eV/cell. The calculation puts the total energy at -0.5255 Ry per atom. The value obtained for the size of the total moment is 0.0 μB/f.u.

a = 11.6530 Å, b = 11.6530 Å, c = 8.0674 Å
α = 90.00°, β = 90.00°, γ = 120.00°
Space group R-3 (No. 148, hexagonal axes)
Asymmetric unit:
Ti1 0.0473 0.2387 0.4021 x18
Ti2 0.0561 0.2368 0.7613 x18
Ga1 0.0000 0.0000 0.5000 x3
Si1 0.0657 0.2378 0.0873 x18

=====

## Ta2SbIr (GGA-PBE)

Data for a relaxed structure of Ta2SbIr.

Computed properties:
The uncorrected formation energy is -0.377 eV/f.u. For the density of states at the Fermi level, the calculation gives 1.85 states/eV/cell. The calculation puts the total energy at -0.6811 Ry per atom. The value obtained for the size of the total moment is 0.0 μB/f.u.

a = 3.464 Å, b = 3.464 Å, c = 6.145 Å
α = 90.00°, β = 90.00°, γ = 90.00°
Space group P4mm (No. 99)
Asymmetric unit:
Ta1 0.000 0.000 0.000 x1
Ta2 0.500 0.500 0.282 x1
Sb1 0.500 0.500 0.766 x1
Ir1 0.000 0.000 0.473 x1

=====

## La11Ho9Er4 (GGA-PBE)

Data for a relaxed structure of La11Ho9Er4.

Computed properties:
As for the formation energy: 0.0692 eV/atom. For the density of states at the Fermi level, the calculation gives 68.60 states/eV/cell. The calculation puts the total energy at -0.3430 Ry per atom. The value obtained for the size of the total moment is 0.0 μB/f.u.

a = 17.154 Å, b = 25.934 Å, c = 3.691 Å
α = 90.00°, β = 90.00°, γ = 90.00°
Space group Cmmm (No. 65)
Asymmetric unit:
La1 0.000 0.000 0.000 x2
La2 0.000 0.160 0.000 x4
La3 0.000 0.369 0.000 x4
La4 0.207 0.500 0.000 x4
La5 0.223 0.181 0.000 x8
Ho1 0.000 0.500 0.500 x2
Ho2 0.101 0.268 0.500 x8
Ho3 0.142 0.072 0.500 x8
Er1 0.157 0.398 0.500 x8

=====

## Ho4Er3Tm5 (GGA-PBE)

Data for a relaxed structure of Ho4Er3Tm5.

Computed properties:
As for the formation energy: 0.2545 eV/atom. For the density of states at the Fermi level, the calculation gives 38.84 states/eV/cell. The calculation puts the total energy at -0.3142 Ry per atom. The value obtained for the size of the total moment is 0.6 μB/f.u. The distance to the lowest polymorph of the same formula is 0.231 eV/atom.

a = 15.787 Å, b = 5.785 Å, c = 9.147 Å
α = 90.00°, β = 116.54°, γ = 90.00°
Space group C2/m (No. 12)
Asymmetric unit:
Ho1 0.081 0.000 0.440 x4
Ho2 0.214 0.000 0.879 x4
Er1 0.000 0.500 0.000 x2
Er2 0.210 0.000 0.234 x4
Tm1 0.000 0.000 0.000 x2
Tm2 0.072 0.500 0.701 x4
Tm3 0.172 0.500 0.385 x4

=====

## FeSb3 (GGA-PBE)

Data for a relaxed structure of FeSb3.

Computed properties:
The uncorrected formation energy is 2.242 eV/f.u. For the density of states at the Fermi level, the calculation gives 9.14 states/eV/cell. The calculation puts the total energy at -0.3415 Ry per atom. The value obtained for the size of the total moment is 2.7 μB/f.u. The distance to the lowest polymorph of the same formula is 0.587 eV/atom.

a = 5.011 Å, b = 5.011 Å, c = 7.425 Å
α = 90.00°, β = 90.00°, γ = 90.00°
Space group I4/mmm (No. 139)
Asymmetric unit:
Fe1 0.000 0.000 0.000 x2
Sb1 0.000 0.000 0.500 x2
Sb2 0.000 0.500 0.250 x4

=====

## AcHoTlIn (GGA-PBE)

Data for a relaxed structure of AcHoTlIn.

Computed properties:
As for the formation energy: -0.3545 eV/atom. For the density of states at the Fermi level, the calculation gives 8.46 states/eV/cell. The calculation puts the total energy at -0.2795 Ry per atom. The value obtained for the size of the total moment is 0.0 μB/f.u.

a = 7.912 Å, b = 7.912 Å, c = 7.912 Å
α = 90.00°, β = 90.00°, γ = 90.00°
Space group F-43m (No. 216)
Asymmetric unit:
Ac1 0.000 0.000 0.000 x4
Ho1 0.000 0.000 0.500 x4
Tl1 0.250 0.250 0.250 x4
In1 0.250 0.250 0.750 x4

=====

## BaBr (GGA-PBE)

Data for a relaxed structure of BaBr.

Computed properties:
The uncorrected formation energy is -3.032 eV/f.u. For the density of states at the Fermi level, the calculation gives 5.59 states/eV/cell. The calculation puts the total energy at -0.2436 Ry per atom. The value obtained for the size of the total moment is 0.0 μB/f.u.

a = 4.429 Å, b = 17.837 Å, c = 4.480 Å
α = 90.00°, β = 90.00°, γ = 90.00°
Space group Cmcm (No. 63)
Asymmetric unit:
Ba1 0.000 0.118 0.250 x4
Br1 0.000 0.316 0.250 x4

=====

## AcPm2N3 (GGA-PBE)

Data for a relaxed structure of AcPm2N3.

Computed properties:
The uncorrected formation energy is -5.497 eV/f.u. For the density of states at the Fermi level, the calculation gives 3.31 states/eV/cell. The calculation puts the total energy at -0.5400 Ry per atom. The value obtained for the size of the total moment is 0.0 μB/f.u.

a = 3.542 Å, b = 13.228 Å, c = 12.923 Å
α = 90.00°, β = 90.00°, γ = 90.00°
Space group Cmcm (No. 63)
Asymmetric unit:
Ac1 0.000 0.144 0.250 x4
Pm1 0.000 0.000 0.000 x4
Pm2 0.000 0.410 0.250 x4
N1 0.000 0.203 0.750 x4
N2 0.000 0.459 0.623 x8

=====

## Ce3Se2O (GGA-PBE)

Data for a relaxed structure of Ce3Se2O.

Computed properties:
The uncorrected formation energy is -12.072 eV/f.u. For the density of states at the Fermi level, the calculation gives 29.92 states/eV/cell. The calculation puts the total energy at -0.5120 Ry per atom. The value obtained for the size of the total moment is 2.6 μB/f.u.

a = 3.860 Å, b = 5.744 Å, c = 12.190 Å
α = 90.00°, β = 90.00°, γ = 90.00°
Space group Immm (No. 71)
Asymmetric unit:
Ce1 0.000 0.000 0.000 x2
Ce2 0.000 0.000 0.365 x4
Se1 0.000 0.500 0.320 x4
O1 0.000 0.500 0.000 x2

=====

## CaAc3Mn2N6 (GGA-PBE)

Data for a relaxed structure of CaAc3Mn2N6.

Computed properties:
The uncorrected formation energy is -9.791 eV/f.u. For the density of states at the Fermi level, the calculation gives 7.01 states/eV/cell. The calculation puts the total energy at -0.5660 Ry per atom. The value obtained for the size of the total moment is 3.0 μB/f.u.

a = 5.9631 Å, b = 5.9631 Å, c = 6.8946 Å
α = 90.00°, β = 90.00°, γ = 120.00°
Space group P-3m1 (No. 164)
Asymmetric unit:
Ca1 0.0000 0.0000 0.0000 x1
Ac1 0.0000 0.0000 0.5000 x1
Ac2 0.3333 0.6667 0.1778 x2
Mn1 0.3333 0.6667 0.7119 x2
N1 0.1739 0.3477 0.7814 x6

=====

## TaHg2P (GGA-PBE)

Data for a relaxed structure of TaHg2P.

Computed properties:
As for the formation energy: 0.2913 eV/atom. For the density of states at the Fermi level, the calculation gives 4.21 states/eV/cell. The calculation puts the total energy at -0.3069 Ry per atom. The value obtained for the size of the total moment is 0.0 μB/f.u.

a = 3.275 Å, b = 4.954 Å, c = 10.546 Å
α = 90.00°, β = 90.00°, γ = 90.00°
Space group Imm2 (No. 44)
Asymmetric unit:
Ta1 0.000 0.000 0.000 x2
Hg1 0.000 0.000 0.464 x2
Hg2 0.000 0.500 0.253 x2
P1 0.000 0.500 0.664 x2